1.
VASP calculation (PBE) on a relaxed Er2Be2Si3 crystal.

abc: 3.8748 6.6045 9.1331
angles: 90.00 102.25 90.00
Atoms (fractional coordinates):
Be1 0.3327 0.0914 0.6654
Be2 0.3327 0.4086 0.6654
Be3 0.6673 0.9086 0.3346
Be4 0.6673 0.5914 0.3346
Si1 0.4388 0.9265 0.8777
Si2 0.7899 0.2500 0.5797
Si3 0.2101 0.7500 0.4203
Si4 0.5612 0.4265 0.1223
Si5 0.4388 0.5735 0.8777
Si6 0.5612 0.0735 0.1223
Er1 0.9514 0.2500 0.9028
Er2 0.8331 0.7500 0.6662
Er3 0.1669 0.2500 0.3338
Er4 0.0486 0.7500 0.0972

2.
VASP calculation (PBE) on a relaxed BaPm2ReO8 crystal.

abc: 5.2717 4.5781 7.2288
angles: 72.63 90.74 92.37
Atoms (fractional coordinates):
O1 0.7634 0.7834 0.8894
O2 0.0014 0.3349 0.7642
O3 0.2366 0.2166 0.1106
O4 0.7223 0.1583 0.1021
O5 0.9986 0.6651 0.2358
O6 0.4968 0.7575 0.4923
O7 0.2777 0.8417 0.8979
O8 0.5032 0.2425 0.5077
Pm1 0.5040 0.6078 0.2149
Pm2 0.4960 0.3922 0.7851
Ba1 0.0000 0.0000 0.5000
Re1 0.0000 0.0000 0.0000

3.
VASP calculation (PBE) on a relaxed Au2SeCl crystal.

abc: 6.0493 6.0493 7.3772
angles: 65.79 65.79 90.00
Atoms (fractional coordinates):
Au1 0.6607 0.1250 0.2500
Au2 0.8750 0.9107 0.7500
Au3 0.0893 0.6250 0.2500
Au4 0.3750 0.3393 0.7500
Cl1 0.2500 0.7500 0.5000
Cl2 0.5000 0.5000 0.0000
Se1 0.0000 0.0000 0.0000
Se2 0.7500 0.2500 0.5000

* relative energy among the computed polymorphs: 92 meV/atom

4.
VASP calculation (PBE) on a relaxed CuTeN crystal.

abc: 3.6621 5.4141 5.6967
angles: 111.44 91.67 90.66
Atoms (fractional coordinates):
Te1 0.8910 0.3516 0.4501
Te2 0.3923 0.0218 0.8742
N1 0.8666 0.2632 0.0488
N2 0.3698 0.7585 0.0488
Cu1 0.3863 0.9882 0.4076
Cu2 0.8662 0.6266 0.0126

* relative energy among the computed polymorphs: 101 meV/atom

no.,calculated total energy (eV/atom)
1,-5.174
2,-7.741
3,-2.902
4,-4.597